(1)
This record from OQMD via LeMat-Bulk describes a geometry-optimized HfAlIn3 structure. The functional is GGA-PBE.

Structure (POSCAR):
```
HfAlIn3
1.0
-3.456 3.456 5.511
3.456 -3.456 5.511
3.456 3.456 -5.511
Hf Al In
2 2 6
Direct
0.250 0.750 0.500 Hf
0.750 0.250 0.500 Hf
0.000 0.000 0.000 Al
0.500 0.500 0.000 Al
0.148 0.648 0.796 In
0.250 0.250 0.000 In
0.352 0.148 0.500 In
0.648 0.852 0.500 In
0.750 0.750 0.000 In
0.852 0.352 0.204 In
```

(2)
This record from OQMD via LeMat-Bulk describes a geometry-optimized Li2Hf2AlInPd2 structure. The functional is GGA-PBE.

Structure (POSCAR):
```
Li2Hf2AlInPd2
1.0
4.526 0.000 0.000
0.000 4.526 0.000
0.000 0.000 6.426
Li Hf Al In Pd
2 2 1 1 2
Direct
0.000 0.500 0.242 Li
0.500 0.000 0.758 Li
0.000 0.000 0.000 Hf
0.500 0.500 0.500 Hf
0.500 0.500 0.000 Al
0.000 0.000 0.500 In
0.000 0.500 0.764 Pd
0.500 0.000 0.236 Pd
```

(3)
This record from OQMD via LeMat-Bulk describes a geometry-optimized Hf4AlInN2 structure. The functional is GGA-PBE.

Structure (POSCAR):
```
Hf4AlInN2
1.0
3.219 0.000 0.000
-1.609 2.788 0.000
0.000 0.000 14.501
Hf Al In N
4 1 1 2
Direct
0.000 0.000 0.157 Hf
0.000 0.000 0.843 Hf
0.667 0.333 0.330 Hf
0.667 0.333 0.670 Hf
0.667 0.333 0.000 Al
0.000 0.000 0.500 In
0.333 0.667 0.244 N
0.333 0.667 0.756 N
```

(4)
This record from OQMD via LeMat-Bulk describes a geometry-optimized Na2Hf2AlInPd2 structure. The functional is GGA-PBE.

Structure (POSCAR):
```
Na2Hf2AlInPd2
1.0
4.659 0.000 0.000
0.000 4.659 0.000
0.000 0.000 6.617
Na Hf Al In Pd
2 2 1 1 2
Direct
0.000 0.500 0.243 Na
0.500 0.000 0.757 Na
0.000 0.000 0.000 Hf
0.500 0.500 0.500 Hf
0.500 0.500 0.000 Al
0.000 0.000 0.500 In
0.000 0.500 0.763 Pd
0.500 0.000 0.237 Pd
```

(5)
This record from OQMD via LeMat-Bulk describes a geometry-optimized HfAlInSe3 structure. The functional is GGA-PBE.

Structure (POSCAR):
```
HfAlInSe3
1.0
1.826 -7.866 0.000
1.826 7.866 0.000
0.000 0.000 10.156
Hf Al In Se
2 2 2 6
Direct
0.000 0.000 0.000 Hf
0.000 0.000 0.500 Hf
0.458 0.542 0.750 Al
0.542 0.458 0.250 Al
0.251 0.749 0.250 In
0.749 0.251 0.750 In
0.066 0.934 0.750 Se
0.373 0.627 0.552 Se
0.373 0.627 0.948 Se
0.627 0.373 0.052 Se
0.627 0.373 0.448 Se
0.934 0.066 0.250 Se
```

(6)
This record from OQMD via LeMat-Bulk describes a geometry-optimized HfAl2Ir2 structure. The functional is GGA-PBE.

Structure (POSCAR):
```
HfAl2Ir2
1.0
-1.840 1.840 6.199
1.840 -1.840 6.199
1.840 1.840 -6.199
Hf Al Ir
1 2 2
Direct
0.000 0.000 0.000 Hf
0.250 0.750 0.500 Al
0.750 0.250 0.500 Al
0.392 0.392 0.000 Ir
0.608 0.608 0.000 Ir
```

(7)
This record from OQMD via LeMat-Bulk describes a geometry-optimized LiHfAlIr structure. The functional is GGA-PBE.

Structure (POSCAR):
```
LiHfAlIr
1.0
0.000 3.140 3.140
3.140 0.000 3.140
3.140 3.140 0.000
Li Hf Al Ir
1 1 1 1
Direct
0.000 0.000 0.000 Li
0.750 0.750 0.750 Hf
0.250 0.250 0.250 Al
0.500 0.500 0.500 Ir
```

(8)
This record from OQMD via LeMat-Bulk describes a geometry-optimized Li2HfAl2ZnIr2 structure. The functional is GGA-PBE.

Structure (POSCAR):
```
Li2HfAl2ZnIr2
1.0
4.357 0.000 0.000
0.000 4.357 0.000
0.000 0.000 6.212
Li Hf Al Zn Ir
2 1 2 1 2
Direct
0.000 0.500 0.218 Li
0.500 0.000 0.782 Li
0.500 0.500 0.500 Hf
0.000 0.000 0.500 Al
0.500 0.500 0.000 Al
0.000 0.000 0.000 Zn
0.000 0.500 0.749 Ir
0.500 0.000 0.251 Ir
```

Listing final energy for the structures above in their given order: -38.15 -45.08 -71.43 -40.92 -61.65 -38.90 -27.43 -45.35 eV for the cell shown.
Listing total magnetic moment for the structures above in their given order: 0.00 0.00 0.01 0.00 0.00 0.01 0.00 0.00 μB per formula unit.